Entry 1:
Density functional theory data (PBE-GGA) for crystalline Ca6TlH2 at its relaxed geometry.

a = 13.945 Å, b = 11.460 Å, c = 7.444 Å
α = 90.00°, β = 114.35°, γ = 90.00°
Space group C2/c (No. 15)
Inequivalent atoms, fractional coordinates:
Ca (0.119, 0.216, 0.013)
Ca (0.130, 0.446, 0.662)
Ca (0.141, 0.098, 0.496)
Tl (0.000, 0.329, 0.250)
H (0.190, 0.062, 0.220)

***

Entry 2:
Density functional theory data (PBE-GGA) for crystalline Zn2HgBi at its relaxed geometry.

a = 7.151 Å, b = 7.151 Å, c = 7.151 Å
α = 90.00°, β = 90.00°, γ = 90.00°
Space group Fm-3m (No. 225)
Inequivalent atoms, fractional coordinates:
Zn (0.250, 0.250, 0.250)
Hg (0.000, 0.000, 0.000)
Bi (0.000, 0.000, 0.500)

Output
ΔE_f   0.181 eV/atom
ΔE to the lowest computed polymorph   38 meV/atom

***

Entry 3:
Density functional theory data (PBE-GGA) for crystalline Mg2AuO4 at its relaxed geometry.

a = 9.923 Å, b = 11.536 Å, c = 5.884 Å
α = 90.00°, β = 90.00°, γ = 90.00°
Space group Fdd2 (No. 43)
Inequivalent atoms, fractional coordinates:
Mg (0.048, 0.279, 0.000)
Au (0.000, 0.000, 0.248)
O (0.114, 0.185, 0.268)
O (0.114, 0.185, 0.727)

Output
Formation energy (no corrections)   -1420 meV per atom

***

Entry 4:
Density functional theory data (PBE-GGA) for crystalline CaMg2Cd3 at its relaxed geometry.

a = 4.943 Å, b = 14.743 Å, c = 7.824 Å
α = 90.00°, β = 90.00°, γ = 90.00°
Space group Cmmm (No. 65)
Inequivalent atoms, fractional coordinates:
Ca (0.000, 0.163, 0.000)
Mg (0.000, 0.167, 0.500)
Mg (0.000, 0.500, 0.000)
Mg (0.000, 0.500, 0.500)
Cd (0.000, 0.000, 0.268)
Cd (0.000, 0.336, 0.271)

Output
ΔE_f   -0.198 eV/atom
ΔE to the lowest computed polymorph   0 meV/atom

***

Entry 5:
Density functional theory data (PBE-GGA) for crystalline Zn2FeSe at its relaxed geometry.

a = 12.606 Å, b = 2.817 Å, c = 3.915 Å
α = 90.00°, β = 107.80°, γ = 90.00°
Space group C2/m (No. 12)
Inequivalent atoms, fractional coordinates:
Zn (0.195, 0.000, 0.196)
Fe (0.000, 0.500, 0.000)
Se (0.000, 0.000, 0.500)

Output
Formation energy (no corrections)   163 meV per atom

***

Entry 6:
Density functional theory data (PBE-GGA) for crystalline ZnCr at its relaxed geometry.

a = 2.477 Å, b = 10.173 Å, c = 4.134 Å
α = 90.00°, β = 90.00°, γ = 90.00°
Space group Cmcm (No. 63)
Inequivalent atoms, fractional coordinates:
Zn (0.000, 0.183, 0.250)
Cr (0.000, 0.450, 0.250)

Output
ΔE_f   0.295 eV/atom

***

| no. | total moment (Bohr magnetons per cell) | DFT total energy (eV per cell) |
| --- | --- | --- |
| 1 | 0.0 | -92.6 |
| 2 | 0.0 | -24.0 |
| 3 | 0.0 | -289.9 |
| 4 | 0.0 | -36.5 |
| 5 | 4.2 | -27.7 |
| 6 | 0.0 | -41.2 |